#1
## TlPtPb2 (SCAN)

Data for a PBEsol-optimized structure of TlPtPb2.

Cell: 3.4288 4.6307 6.9786 Å, 109.38 104.22 90.00°
Positions (direct):
Tl1 0.0000 0.5000 0.0000
Pt1 0.5000 0.0000 0.0000
Pb1 0.1850 0.1850 0.3699
Pb2 0.8150 0.8150 0.6301

Calculated values
Space group: Immm (71)
V: 101 Å³/cell
Crystal system: orthorhombic

=====

#2
## TlPtPb2 (SCAN)

Data for a PBEsol-optimized structure of TlPtPb2.

Cell: 4.7395 4.7395 5.3966 Å, 116.05 116.05 90.00°
Positions (direct):
Tl1 0.2500 0.7500 0.5000
Pt1 0.5000 0.5000 0.0000
Pb1 0.7500 0.2500 0.5000
Pb2 0.0000 0.0000 0.0000

Calculated values
Space group: I-4m2 (119)
V: 95 Å³/cell
Crystal system: tetragonal

=====

#3
## TlPtPb2 (SCAN)

Data for a PBEsol-optimized structure of TlPtPb2.

Cell: 3.4155 3.4157 8.4315 Å, 90.00 90.00 90.00°
Positions (direct):
Tl1 0.5000 0.5000 0.0000
Pt1 0.5000 0.5000 0.5000
Pb1 0.0000 0.0000 0.6988
Pb2 0.0000 0.0000 0.3012

Calculated values
Space group: P4/mmm (123)
V: 98 Å³/cell
Crystal system: tetragonal

=====

Most stable to least stable, the ends of the list are #3 and #2.

=====

#1
## ZrPtPb2 (SCAN)

Data for a PBEsol-optimized structure of ZrPtPb2.

Cell: 3.2402 3.8137 6.8495 Å, 90.00 90.00 90.00°
Positions (direct):
Pb1 0.0000 0.0000 0.2334
Pb2 0.0000 0.0000 0.7666
Pt1 0.5000 0.5000 0.0000
Zr1 0.5000 0.5000 0.5000

Calculated values
Space group: Pmmm (47)
V: 85 Å³/cell
Crystal system: orthorhombic

=====

#2
## ZrPtPb2 (SCAN)

Data for a PBEsol-optimized structure of ZrPtPb2.

Cell: 4.0602 4.5569 4.5569 Å, 90.00 90.00 90.00°
Positions (direct):
Pt1 0.5000 0.5000 0.5000
Pb1 0.0000 0.0000 0.5000
Pb2 0.0000 0.5000 0.0000
Zr1 0.5000 0.0000 0.0000

Calculated values
Space group: P4/mmm (123)
V: 84 Å³/cell
Crystal system: tetragonal

=====

Most stable to least stable, the ends of the list are #2 and #1.

=====

#1
## ZrPtPb2 (SCAN)

Data for a PBEsol-optimized structure of ZrPtPb2.

Cell: 4.9424 4.9424 4.9424 Å, 60.00 60.00 60.00°
Site moments in Bohr magnetons follow the coordinates.
Positions (direct):
Pt1 0.0000 0.0000 0.0000  0.05
Pb1 0.7500 0.7500 0.7500  0.06
Pb2 0.2500 0.2500 0.2500  0.06
Zr1 0.5000 0.5000 0.5000  0.76

Calculated values
Space group: Fm-3m (225)
V: 85 Å³/cell
Crystal system: cubic

=====

#2
## ZrPtPb2 (SCAN)

Data for a PBEsol-optimized structure of ZrPtPb2.

Cell: 3.4872 5.0398 5.8932 Å, 115.31 107.21 90.00°
Positions (direct):
Zr1 0.5000 0.0000 0.0000
Pb1 0.7199 0.7199 0.4398
Pb2 0.2801 0.2801 0.5602
Pt1 0.0000 0.5000 0.0000

Calculated values
Space group: Immm (71)
V: 88 Å³/cell
Crystal system: orthorhombic

=====

#3
## ZrPtPb2 (SCAN)

Data for a PBEsol-optimized structure of ZrPtPb2.

Cell: 3.3086 4.4729 5.9445 Å, 90.00 96.09 90.00°
Positions (direct):
Pt1 0.5000 0.5000 0.0000
Pb1 0.6731 0.0000 0.7573
Pb2 0.3269 0.0000 0.2427
Zr1 0.0000 0.5000 0.5000

Calculated values
Space group: P2/m (10)
V: 87 Å³/cell
Crystal system: monoclinic

=====

Most stable to least stable, the ends of the list are #3 and #1.

=====

#1
## RePb (SCAN)

Data for a PBEsol-optimized structure of RePb.

Cell: 3.3223 3.3223 3.3223 Å, 90.00 90.00 90.00°
Positions (direct):
Pb1 0.0000 0.0000 0.0000
Re1 0.5000 0.5000 0.5000

Calculated values
Space group: Pm-3m (221)
V: 37 Å³/cell
Crystal system: cubic

=====

#2
## RePb (SCAN)

Data for a PBEsol-optimized structure of RePb.

Cell: 4.7621 4.7621 4.7621 Å, 60.00 60.00 60.00°
Positions (direct):
Re1 0.0000 0.0000 0.0000
Re2 0.2500 0.2500 0.2500
Pb1 0.7500 0.7500 0.7500
Pb2 0.5000 0.5000 0.5000

Calculated values
Space group: Fd-3m (227)
V: 76 Å³/cell
Crystal system: cubic

=====

Most stable to least stable, the ends of the list are #2 and #1.

=====

#1
## ReRhPb2 (SCAN)

Data for a PBEsol-optimized structure of ReRhPb2.

Cell: 4.6969 4.6969 4.6969 Å, 60.00 60.00 60.00°
Positions (direct):
Pb1 0.2500 0.2500 0.2500
Pb2 0.7500 0.7500 0.7500
Re1 0.0000 0.0000 0.0000
Rh1 0.5000 0.5000 0.5000

Calculated values
Space group: Fm-3m (225)
V: 73 Å³/cell
Crystal system: cubic

=====

#2
## ReRhPb2 (SCAN)

Data for a PBEsol-optimized structure of ReRhPb2.

Cell: 3.3646 4.6484 4.6484 Å, 90.01 89.97 89.97°
Positions (direct):
Re1 0.5000 0.5000 0.5000
Pb1 0.0000 0.0000 0.5000
Pb2 0.0000 0.5000 0.0000
Rh1 0.5000 0.0000 0.0000

Calculated values
Space group: P4/mmm (123)
V: 73 Å³/cell
Crystal system: tetragonal

=====

Most stable to least stable, the ends of the list are #2 and #1.

=====

#1
## ReRuPb2 (SCAN)

Data for a PBEsol-optimized structure of ReRuPb2.

Cell: 3.1112 3.1112 8.7587 Å, 90.00 90.00 116.40°
Positions (direct):
Pb1 0.0000 0.0000 0.2438
Pb2 0.0000 0.0000 0.7562
Ru1 0.5000 0.5000 0.0000
Re1 0.5000 0.5000 0.5000

Calculated values
Space group: Cmmm (65)
V: 76 Å³/cell
Crystal system: orthorhombic

=====

#2
## ReRuPb2 (SCAN)

Data for a PBEsol-optimized structure of ReRuPb2.

Cell: 3.0784 5.4138 5.4138 Å, 109.13 105.16 105.16°
Site moments in Bohr magnetons follow the coordinates.
Positions (direct):
Pb1 0.0000 0.0000 0.5000  -0.01
Pb2 0.0000 0.5000 0.0000  -0.01
Ru1 0.5000 0.5000 0.5000  -0.09
Re1 0.5000 0.0000 0.0000  0.53

Calculated values
Space group: C2/m (12)
V: 76 Å³/cell
Crystal system: monoclinic

=====

Most stable to least stable, the ends of the list are #2 and #1.

=====

#1
## ScRePb2 (SCAN)

Data for a PBEsol-optimized structure of ScRePb2.

Cell: 3.7610 4.6633 4.6633 Å, 94.88 90.00 90.00°
Positions (direct):
Pb1 0.0000 0.5000 0.0000
Pb2 0.0000 0.0000 0.5000
Re1 0.5000 0.0000 0.0000
Sc1 0.5000 0.5000 0.5000

Calculated values
Space group: Cmmm (65)
V: 81 Å³/cell
Crystal system: orthorhombic

=====

#2
## ScRePb2 (SCAN)

Data for a PBEsol-optimized structure of ScRePb2.

Cell: 4.9465 4.9465 4.9465 Å, 60.00 60.00 60.00°
Site moments in Bohr magnetons follow the coordinates.
Positions (direct):
Pb1 0.2500 0.2500 0.2500  0.01
Pb2 0.0000 0.0000 0.0000  -0.02
Sc1 0.7500 0.7500 0.7500  0.02
Re1 0.5000 0.5000 0.5000  0.90

Calculated values
Space group: F-43m (216)
V: 86 Å³/cell
Crystal system: cubic

=====

Most stable to least stable, the ends of the list are #1 and #2.

=====

#1
## SrRePb2 (SCAN)

Data for a PBEsol-optimized structure of SrRePb2.

Cell: 3.8397 4.9228 5.8390 Å, 90.00 109.21 90.00°
Positions (direct):
Pb1 0.9623 0.0000 0.0494
Pb2 0.5688 0.5000 0.2634
Sr1 0.2920 0.5000 0.7091
Re1 0.6769 0.0000 0.4780

Calculated values
Space group: Amm2 (38)
V: 104 Å³/cell
Crystal system: orthorhombic

=====

#2
## SrRePb2 (SCAN)

Data for a PBEsol-optimized structure of SrRePb2.

Cell: 3.3600 3.3600 10.6001 Å, 80.88 80.88 60.00°
Positions (direct):
Re1 0.4958 0.4958 0.5127
Sr1 0.2380 0.2380 0.2859
Pb1 0.0028 0.0028 0.9917
Pb2 0.7634 0.7634 0.7097

Calculated values
Space group: R3m (160)
V: 102 Å³/cell
Crystal system: trigonal

=====

Most stable to least stable, the ends of the list are #1 and #2.

=====

#1
## TaRePb2 (SCAN)

Data for a PBEsol-optimized structure of TaRePb2.

Cell: 3.2770 5.0972 5.6835 Å, 116.64 106.76 90.00°
Positions (direct):
Re1 0.5000 0.0000 0.0000
Pb1 0.2352 0.2352 0.4704
Pb2 0.7648 0.7648 0.5296
Ta1 0.0000 0.5000 0.0000

Calculated values
Space group: Immm (71)
V: 80 Å³/cell
Crystal system: orthorhombic

=====

#2
## TaRePb2 (SCAN)

Data for a PBEsol-optimized structure of TaRePb2.

Cell: 3.3764 4.7757 4.7757 Å, 90.00 90.00 90.00°
Site moments in Bohr magnetons follow the coordinates.
Positions (direct):
Pb1 0.0000 0.0000 0.5000  -0.03
Pb2 0.0000 0.5000 0.0000  -0.03
Re1 0.5000 0.5000 0.5000  0.65
Ta1 0.5000 0.0000 0.0000  0.04

Calculated values
Space group: P4/mmm (123)
V: 77 Å³/cell
Crystal system: tetragonal

=====

Most stable to least stable, the ends of the list are #1 and #2.

=====

#1
## Re2TePb (SCAN)

Data for a PBEsol-optimized structure of Re2TePb.

Cell: 3.1081 4.6228 5.7844 Å, 102.65 90.00 109.64°
Positions (direct):
Pb1 0.5000 0.0000 0.0000
Te1 0.0000 0.0000 0.5000
Re1 0.7552 0.5105 0.7029
Re2 0.2448 0.4895 0.2971

Calculated values
Space group: C2/m (12)
V: 76 Å³/cell
Crystal system: monoclinic

=====

#2
## Re2TePb (SCAN)

Data for a PBEsol-optimized structure of Re2TePb.

Cell: 3.0860 4.7824 6.1999 Å, 112.69 104.41 90.00°
Positions (direct):
Re1 0.7159 0.2159 0.4318
Re2 0.0420 0.0420 0.0841
Te1 0.4683 0.4683 0.9367
Pb1 0.2737 0.7737 0.5474

Calculated values
Space group: Imm2 (44)
V: 81 Å³/cell
Crystal system: orthorhombic

=====

#3
## Re2TePb (SCAN)

Data for a PBEsol-optimized structure of Re2TePb.

Cell: 4.6476 4.6476 4.6476 Å, 60.00 60.00 60.00°
Positions (direct):
Re1 0.7500 0.7500 0.7500
Re2 0.2500 0.2500 0.2500
Pb1 0.5000 0.5000 0.5000
Te1 0.0000 0.0000 0.0000

Calculated values
Space group: Fm-3m (225)
V: 71 Å³/cell
Crystal system: cubic

=====

Most stable to least stable, the ends of the list are #2 and #3.

=====

#1
## Tl2RePb (SCAN)

Data for a PBEsol-optimized structure of Tl2RePb.

Cell: 2.9983 5.5587 5.5587 Å, 106.74 90.00 90.00°
Site moments in Bohr magnetons follow the coordinates.
Positions (direct):
Tl1 0.0000 0.5000 0.0000  -0.01
Tl2 0.0000 0.0000 0.5000  -0.01
Pb1 0.5000 0.0000 0.0000  0.00
Re1 0.5000 0.5000 0.5000  0.61

Calculated values
Space group: Cmmm (65)
V: 89 Å³/cell
Crystal system: orthorhombic

=====

#2
## Tl2RePb (SCAN)

Data for a PBEsol-optimized structure of Tl2RePb.

Cell: 4.4001 4.4001 5.5119 Å, 113.52 113.52 90.00°
Site moments in Bohr magnetons follow the coordinates.
Positions (direct):
Tl1 0.2500 0.7500 0.5000  -0.01
Tl2 0.7500 0.2500 0.5000  -0.01
Pb1 0.5000 0.5000 0.0000  -0.01
Re1 0.0000 0.0000 0.0000  1.39

Calculated values
Space group: I4/mmm (139)
V: 88 Å³/cell
Crystal system: tetragonal

=====

#3
## Tl2RePb (SCAN)

Data for a PBEsol-optimized structure of Tl2RePb.

Cell: 3.0280 4.6574 7.5992 Å, 107.84 101.49 90.00°
Positions (direct):
Pb1 0.5000 0.0000 0.0000
Tl1 0.6857 0.6857 0.3714
Tl2 0.3143 0.3143 0.6286
Re1 0.0000 0.5000 0.0000

Calculated values
Space group: Immm (71)
V: 100 Å³/cell
Crystal system: orthorhombic

=====

#4
## Tl2RePb (SCAN)

Data for a PBEsol-optimized structure of Tl2RePb.

Cell: 3.1281 3.1281 10.8606 Å, 81.72 81.72 60.00°
Site moments in Bohr magnetons follow the coordinates.
Positions (direct):
Re1 0.0000 0.0000 0.0000  0.53
Tl1 0.7390 0.7390 0.7831  0.00
Tl2 0.2610 0.2610 0.2169  0.00
Pb1 0.5000 0.5000 0.5000  -0.01

Calculated values
Space group: R-3m (166)
V: 91 Å³/cell
Crystal system: trigonal

=====

Most stable to least stable, the ends of the list are #3 and #2.

=====

#1
## Tl2RePb (SCAN)

Data for a PBEsol-optimized structure of Tl2RePb.

Cell: 3.1870 3.1870 9.2024 Å, 90.00 90.00 90.00°
Positions (direct):
Pb1 0.0000 0.0000 0.5529
Tl1 0.5000 0.5000 0.2397
Tl2 0.0000 0.0000 0.9542
Re1 0.5000 0.5000 0.7533

Calculated values
Space group: P4mm (99)
V: 93 Å³/cell
Crystal system: tetragonal

=====

#2
## Tl2RePb (SCAN)

Data for a PBEsol-optimized structure of Tl2RePb.

Cell: 3.3248 5.0208 5.6625 Å, 90.00 105.70 90.00°
Site moments in Bohr magnetons follow the coordinates.
Positions (direct):
Tl1 0.1414 0.0000 0.2709  0.00
Tl2 0.8586 0.0000 0.7291  0.00
Re1 0.5000 0.5000 0.5000  1.05
Pb1 0.5000 0.5000 0.0000  -0.03

Calculated values
Space group: P2/m (10)
V: 91 Å³/cell
Crystal system: monoclinic

=====

Most stable to least stable, the ends of the list are #1 and #2.